## Th3BiH3 (PBE-GGA)

Data for a relaxed Th3BiH3 crystal.

The relative energy among the computed polymorphs comes out at 78 meV/atom. The total magnetization comes out at 0.00 μB per atom.

It has space group R-3 (No. 148, hexagonal axes), with a = 6.9359 Å, b = 6.9359 Å, c = 21.9621 Å, α = 90.00°, β = 90.00° and γ = 120.00°. The distinct sites, in fractional coordinates, are Th at (0.0098, 0.3161, 0.0977), Bi at (0.0000, 0.0000, 0.3307) and H at (0.0053, 0.3239, 0.2040).